No. 1
VASP calculation (GGA+U) on FeI2F after structural relaxation.

```
FeI2F
1.0
7.053 0.000 0.000
0.000 7.053 0.000
3.526 3.526 4.798
Fe I F
2 4 2
Direct
0.750 0.250 0.500 Fe
0.000 0.000 0.000 Fe
0.651 0.125 0.250 I
0.099 0.625 0.250 I
0.875 0.901 0.750 I
0.375 0.349 0.750 I
0.500 0.500 0.000 F
0.250 0.750 0.500 F
```

Computed properties:
Polymorph energy (0 for the lowest one) = 0.0 meV/atom
Mass density = 4.6 g/cm³
Energy = -2.86 eV/atom
Symmetry = I-42d, No. 122
Magnetic moment = 10.0 Bohr magnetons per cell

***

No. 2
VASP calculation (GGA+U) on PaInMoO6 after structural relaxation.

```
PaInMoO6
1.0
-3.130 -3.506 -1.601
3.675 -2.094 -2.601
2.358 -5.735 7.949
Mo O In Pa
2 12 2 2
Direct
0.500 0.500 0.499 Mo
0.000 0.000 0.999 Mo
0.309 0.309 0.660 O
0.691 0.691 0.339 O
0.691 0.691 0.660 O
0.709 0.709 0.001 O
0.309 0.309 0.339 O
0.191 0.809 0.160 O
0.209 0.791 0.501 O
0.191 0.809 0.839 O
0.809 0.191 0.160 O
0.809 0.191 0.839 O
0.291 0.291 0.001 O
0.791 0.209 0.501 O
0.000 0.000 0.334 In
0.500 0.500 0.834 In
0.000 0.000 0.667 Pa
0.500 0.500 0.167 Pa
```

Computed properties:
Mass density = 7.2 g/cm³
Energy = -7.83 eV/atom
Symmetry = P4_2nm, No. 102
Magnetic moment = 4.0 Bohr magnetons per cell

***

- Among the records above, which one has the highest mass density?
  PaInMoO6